Entry 1:
NdTh2CuN4: relaxed, GGA-PBE.

The structure in POSCAR format:
```
NdTh2CuN4
1.0
3.629 0.000 0.000
-1.814 5.895 0.000
0.000 0.000 11.948
N Th Cu Nd
8 4 2 2
direct
0.734 0.468 0.886
0.455 0.910 0.750
0.266 0.532 0.114
0.000 0.000 0.000
0.000 0.000 0.500
0.545 0.090 0.250
0.266 0.532 0.386
0.734 0.468 0.614
0.631 0.263 0.440
0.631 0.263 0.060
0.369 0.737 0.940
0.369 0.737 0.560
0.166 0.331 0.250
0.834 0.669 0.750
0.101 0.202 0.750
0.899 0.798 0.250
```

Properties
Formation energy without anion corrections = -916 kJ/mol of formula units



Entry 2:
Ce2BiPt: relaxed, GGA-PBE.

The structure in POSCAR format:
```
Ce2BiPt
1.0
4.438 0.000 0.000
0.000 7.614 0.000
0.000 0.000 14.543
Ce Bi Pt
8 4 4
direct
0.250 0.269 0.989
0.250 0.345 0.261
0.250 0.845 0.239
0.750 0.155 0.761
0.750 0.231 0.489
0.750 0.731 0.011
0.250 0.769 0.511
0.750 0.655 0.739
0.250 0.898 0.863
0.750 0.102 0.137
0.250 0.398 0.637
0.750 0.602 0.363
0.250 0.077 0.393
0.250 0.577 0.107
0.750 0.423 0.893
0.750 0.923 0.607
```

Properties
Calculated formation energy = -0.75 eV per atom
Relative energy among the computed polymorphs = 8.0 kJ/mol of atoms



Entry 3:
Ba2SiNiPt: relaxed, GGA-PBE.

The structure in POSCAR format:
```
Ba2SiNiPt
1.0
-0.523 5.232 -2.689
-2.735 1.465 3.382
4.714 1.988 2.951
Pt Si Ba Ni
1 1 2 1
direct
0.000 0.500 0.000
0.500 0.500 0.500
0.500 0.000 0.000
0.000 0.000 0.500
0.000 0.000 0.000
```

Properties
Formation energy without anion corrections = 80 kJ/mol of formula units



Entry 4:
Cs2MoBr5Cl: relaxed, GGA-PBE.

The structure in POSCAR format:
```
Cs2MoBr5Cl
1.0
7.769 -0.111 -0.161
-3.786 6.785 0.161
-3.786 -2.266 6.397
Br Cl Cs Mo
5 1 2 1
direct
0.000 0.231 0.231
0.468 0.232 0.232
0.000 0.765 0.232
0.000 0.232 0.765
0.532 0.765 0.765
0.000 0.780 0.780
0.500 0.249 0.749
0.500 0.749 0.249
0.000 0.998 0.998
```

Properties
Formation energy without anion corrections = -1041 kJ/mol of formula units



Entry 5:
Dy3FePt12: relaxed, GGA-PBE.

The structure in POSCAR format:
```
Dy3FePt12
1.0
4.082 0.000 0.000
0.000 4.082 0.000
0.000 0.000 16.216
Pt Dy Fe
12 3 1
direct
0.500 0.000 0.628
0.500 0.000 0.372
0.500 0.500 0.242
0.500 0.500 0.758
0.500 0.000 0.887
0.000 0.500 0.887
0.500 0.500 0.000
0.000 0.500 0.628
0.500 0.000 0.113
0.500 0.500 0.500
0.000 0.500 0.113
0.000 0.500 0.372
0.000 0.000 0.500
0.000 0.000 0.244
0.000 0.000 0.756
0.000 0.000 0.000
```

Properties
Calculated formation energy = -0.82 eV per atom



Entry 6:
SmGaPd6: relaxed, GGA-PBE.

The structure in POSCAR format:
```
SmGaPd6
1.0
5.371 0.262 0.297
-0.326 5.367 0.297
-0.326 -0.364 5.363
Pd Sm Ga
6 1 1
direct
0.823 0.455 0.823
0.545 0.177 0.177
0.177 0.545 0.177
0.823 0.823 0.455
0.177 0.177 0.545
0.455 0.823 0.823
0.000 0.000 0.000
0.500 0.500 0.500
```

Properties
Calculated formation energy = -0.19 eV per atom
Relative energy among the computed polymorphs = 42.3 kJ/mol of atoms



Entry 7:
AcPrI5: relaxed, GGA-PBE.

The structure in POSCAR format:
```
AcPrI5
1.0
-0.076 0.290 -4.441
3.855 -8.823 -0.642
-14.614 -4.706 -0.057
I Ac Pr
10 2 2
direct
0.250 0.342 0.120
0.250 0.066 0.300
0.250 0.360 0.718
0.250 0.874 0.070
0.750 0.934 0.700
0.750 0.640 0.282
0.750 0.658 0.880
0.750 0.126 0.930
0.750 0.316 0.485
0.250 0.684 0.515
0.250 0.416 0.340
0.750 0.584 0.660
0.750 0.105 0.147
0.250 0.895 0.853
```

Properties
Formation energy without anion corrections = -974 kJ/mol of formula units



Entry 8:
Sm8Dy3In: relaxed, GGA-PBE.

The structure in POSCAR format:
```
Sm8Dy3In
1.0
7.564 -0.498 -3.601
-4.425 7.034 -1.170
-0.313 0.498 8.371
Sm Dy In
8 3 1
direct
0.509 0.272 0.272
0.000 0.236 0.728
0.000 0.728 0.236
0.000 0.874 0.620
0.491 0.764 0.764
0.254 0.380 0.380
0.746 0.126 0.126
0.000 0.620 0.874
0.000 0.500 0.500
0.500 0.750 0.250
0.500 0.250 0.750
0.000 0.000 0.000
```

Properties
Calculated formation energy = 0.47 eV per atom